# 1
The following is a DFT calculation (PBE) of a relaxed Mg2Sc5NiPd2 crystal.

Properties
The calculation puts the final energy at -5.566 eV/atom. The energy of formation from the pure elements is -4.64 eV per formula unit.

Geometry as POSCAR:
```
Mg2Sc5NiPd2
1.0
11.109 0.000 0.000
0.000 11.109 0.000
0.000 0.000 3.349
Mg Sc Ni Pd
4 10 2 4
Direct
0.176 0.324 0.000 Mg
0.324 0.824 0.000 Mg
0.676 0.176 0.000 Mg
0.824 0.676 0.000 Mg
0.000 0.500 0.500 Sc
0.062 0.813 0.500 Sc
0.187 0.062 0.500 Sc
0.313 0.562 0.500 Sc
0.438 0.313 0.500 Sc
0.500 0.000 0.500 Sc
0.562 0.687 0.500 Sc
0.687 0.438 0.500 Sc
0.813 0.938 0.500 Sc
0.938 0.187 0.500 Sc
0.000 0.000 0.000 Ni
0.500 0.500 0.000 Ni
0.135 0.635 0.000 Pd
0.365 0.135 0.000 Pd
0.635 0.865 0.000 Pd
0.865 0.365 0.000 Pd
```

***

# 2
The following is a DFT calculation (PBE) of a relaxed Ga2Pt2W crystal.

Properties
The calculation puts the final energy at -6.299 eV/atom. The polymorph energy (0 for the lowest one) comes out at 75 meV/atom. The energy of formation from the pure elements is -0.41 eV per formula unit.

Geometry as POSCAR:
```
Ga2Pt2W
1.0
7.531 0.000 0.000
0.000 7.531 0.000
0.000 0.000 2.785
Ga Pt W
4 4 2
Direct
0.163 0.337 0.000 Ga
0.337 0.837 0.000 Ga
0.663 0.163 0.000 Ga
0.837 0.663 0.000 Ga
0.137 0.637 0.500 Pt
0.363 0.137 0.500 Pt
0.637 0.863 0.500 Pt
0.863 0.363 0.500 Pt
0.000 0.000 0.500 W
0.500 0.500 0.500 W
```

***

# 3
The following is a DFT calculation (PBE) of a relaxed Pr3ErTl crystal.

Properties
The calculation puts the final energy at -4.379 eV/atom. The polymorph energy (0 for the lowest one) comes out at 0 meV/atom. The energy of formation from the pure elements is -0.63 eV per formula unit.

Geometry as POSCAR:
```
Pr3ErTl
1.0
2.471 -13.003 0.000
2.471 13.003 0.000
0.000 0.000 4.946
Pr Er Tl
6 2 2
Direct
0.053 0.947 0.750 Pr
0.251 0.749 0.750 Pr
0.444 0.556 0.750 Pr
0.556 0.444 0.250 Pr
0.749 0.251 0.250 Pr
0.947 0.053 0.250 Pr
0.348 0.652 0.250 Er
0.652 0.348 0.750 Er
0.153 0.847 0.250 Tl
0.847 0.153 0.750 Tl
```

***

# 4
The following is a DFT calculation (PBE) of a relaxed Nd3Dy2Mg3 crystal.

Properties
The calculation puts the final energy at -3.608 eV/atom. The energy of formation from the pure elements is -0.57 eV per formula unit.

Geometry as POSCAR:
```
Nd3Dy2Mg3
1.0
-1.908 2.775 11.334
1.908 -2.775 11.334
1.908 2.775 -11.334
Nd Dy Mg
3 2 3
Direct
0.000 0.000 0.000 Nd
0.374 0.874 0.500 Nd
0.626 0.126 0.500 Nd
0.236 0.236 0.000 Dy
0.764 0.764 0.000 Dy
0.119 0.619 0.500 Mg
0.500 0.500 0.000 Mg
0.881 0.381 0.500 Mg
```

***

# 5
The following is a DFT calculation (PBE) of a relaxed CaIrBr crystal.

Properties
The calculation puts the final energy at -3.797 eV/atom. The polymorph energy (0 for the lowest one) comes out at 1453 meV/atom. Its formation energy without anion corrections is 0.382 eV/atom.

Geometry as POSCAR:
```
CaIrBr
1.0
4.876 0.000 0.000
-2.438 4.223 0.000
0.000 0.000 9.353
Ca Ir Br
2 2 2
Direct
0.333 0.667 0.250 Ca
0.667 0.333 0.750 Ca
0.000 0.000 0.000 Ir
0.000 0.000 0.500 Ir
0.000 0.000 0.250 Br
0.000 0.000 0.750 Br
```

***

# 6
The following is a DFT calculation (PBE) of a relaxed Rb6MoN4 crystal.

Properties
The calculation puts the final energy at -4.488 eV/atom. Its formation energy without anion corrections is 0.052 eV/atom.

Geometry as POSCAR:
```
Rb6MoN4
1.0
8.549 0.000 0.000
0.000 8.549 0.000
0.000 0.000 7.212
Rb Mo N
12 2 8
Direct
0.045 0.545 0.250 Rb
0.045 0.955 0.250 Rb
0.250 0.250 0.048 Rb
0.250 0.250 0.548 Rb
0.455 0.545 0.250 Rb
0.455 0.955 0.250 Rb
0.545 0.045 0.750 Rb
0.545 0.455 0.750 Rb
0.750 0.750 0.452 Rb
0.750 0.750 0.952 Rb
0.955 0.045 0.750 Rb
0.955 0.455 0.750 Rb
0.250 0.750 0.750 Mo
0.750 0.250 0.250 Mo
0.060 0.750 0.607 N
0.250 0.560 0.893 N
0.250 0.940 0.893 N
0.440 0.750 0.607 N
0.560 0.250 0.393 N
0.750 0.060 0.107 N
0.750 0.440 0.107 N
0.940 0.250 0.393 N
```

***

# 7
The following is a DFT calculation (PBE) of a relaxed Tm3CuTe crystal.

Properties
The calculation puts the final energy at -4.609 eV/atom. The polymorph energy (0 for the lowest one) comes out at 72 meV/atom. Its formation energy without anion corrections is -0.479 eV/atom.

Geometry as POSCAR:
```
Tm3CuTe
1.0
7.656 -5.265 0.000
7.656 5.265 0.000
-1.277 0.000 6.686
Tm Cu Te
12 4 4
Direct
0.047 0.221 0.033 Tm
0.161 0.666 0.541 Tm
0.221 0.047 0.533 Tm
0.334 0.839 0.959 Tm
0.340 0.482 0.078 Tm
0.482 0.340 0.578 Tm
0.518 0.660 0.422 Tm
0.660 0.518 0.922 Tm
0.666 0.161 0.041 Tm
0.779 0.953 0.467 Tm
0.839 0.334 0.459 Tm
0.953 0.779 0.967 Tm
0.034 0.966 0.750 Cu
0.200 0.800 0.250 Cu
0.800 0.200 0.750 Cu
0.966 0.034 0.250 Cu
0.125 0.397 0.733 Te
0.397 0.125 0.233 Te
0.603 0.875 0.767 Te
0.875 0.603 0.267 Te
```

***

# 8
The following is a DFT calculation (PBE) of a relaxed CsGaCu3 crystal.

Properties
The calculation puts the final energy at -2.830 eV/atom. The polymorph energy (0 for the lowest one) comes out at 0 meV/atom. The energy of formation from the pure elements is 2.02 eV per formula unit.

Geometry as POSCAR:
```
CsGaCu3
1.0
4.903 0.000 0.000
0.000 4.903 0.000
0.000 0.000 4.903
Cs Ga Cu
1 1 3
Direct
0.000 0.000 0.000 Cs
0.500 0.500 0.500 Ga
0.000 0.500 0.500 Cu
0.500 0.000 0.500 Cu
0.500 0.500 0.000 Cu
```

***

no.,total magnetization (μB/atom)
1,0.00
2,0.00
3,0.00
4,0.00
5,0.00
6,0.00
7,0.00
8,0.00